A plane-wave DFT calculation with GGA-PBE was carried out for crystalline TbTl2IrO8 at its relaxed geometry.

Lattice parameters (Å, degrees): 5.052 6.738 5.115 90.00 91.48 90.00
Space group P2/m (No. 10)
Unique sites:
Tb 0.000 0.000 0.000 [1 per cell]
Tl 0.500 0.252 0.500 [2 per cell]
Ir 0.000 0.500 0.000 [1 per cell]
O 0.192 0.289 0.836 [4 per cell]
O 0.258 0.500 0.290 [2 per cell]
O 0.289 0.000 0.323 [2 per cell]

## Properties
M_tot = 1.6 Bohr magnetons per cell
Energy = -5.927 eV per atom
Formation energy (no corrections) = -1.102 eV/atom

---

A plane-wave DFT calculation with GGA-PBE was carried out for crystalline Si2HgI at its relaxed geometry.

Lattice parameters (Å, degrees): 3.9527 3.9527 7.7646 90.00 90.00 120.00
Space group P3m1 (No. 156)
Unique sites:
Si 0.0000 0.0000 0.0000 [1 per cell]
Si 0.3333 0.6667 0.8957 [1 per cell]
Hg 0.6667 0.3333 0.6613 [1 per cell]
I 0.0000 0.0000 0.3306 [1 per cell]

## Properties
Energy above the most stable polymorph in this dataset = 53.2 kJ/mol of formula units
M_tot = 0.0 Bohr magnetons per cell
Energy = -3.028 eV per atom
Formation energy (no corrections) = 0.147 eV/atom

---

A plane-wave DFT calculation with GGA-PBE was carried out for crystalline RuWBr3 at its relaxed geometry.

Lattice parameters (Å, degrees): 5.061 5.061 5.061 90.00 90.00 90.00
Space group Pm-3m (No. 221)
Unique sites:
Ru 0.000 0.000 0.000 [1 per cell]
W 0.500 0.500 0.500 [1 per cell]
Br 0.000 0.000 0.500 [3 per cell]

## Properties
Energy above the most stable polymorph in this dataset = 0.0 kJ/mol of formula units
M_tot = 3.5 Bohr magnetons per cell
Energy = -4.123 eV per atom
Formation energy (no corrections) = 1.327 eV/atom

---

A plane-wave DFT calculation with GGA-PBE was carried out for crystalline Zr3HgH at its relaxed geometry.

Lattice parameters (Å, degrees): 4.466 4.466 4.466 90.00 90.00 90.00
Space group Pm-3m (No. 221)
Unique sites:
Zr 0.000 0.000 0.500 [3 per cell]
Hg 0.500 0.500 0.500 [1 per cell]
H 0.000 0.000 0.000 [1 per cell]

## Properties
Energy above the most stable polymorph in this dataset = 0.0 kJ/mol of formula units
M_tot = 0.0 Bohr magnetons per cell
Energy = -6.143 eV per atom

---

A plane-wave DFT calculation with GGA-PBE was carried out for crystalline KCu2Ir at its relaxed geometry.

Lattice parameters (Å, degrees): 2.557 5.026 5.546 90.00 90.00 90.00
Space group Pmmm (No. 47)
Unique sites:
K 0.000 0.000 0.000 [1 per cell]
Cu 0.000 0.500 0.500 [1 per cell]
Cu 0.500 0.500 0.000 [1 per cell]
Ir 0.500 0.000 0.500 [1 per cell]

## Properties
Energy above the most stable polymorph in this dataset = 203.3 kJ/mol of formula units
Energy of formation from the pure elements = 0.86 eV per atom
M_tot = 0.0 Bohr magnetons per cell
Energy = -3.680 eV per atom

---

A plane-wave DFT calculation with GGA-PBE was carried out for crystalline Sc2ReB at its relaxed geometry.

Lattice parameters (Å, degrees): 2.9842 2.9842 25.6568 90.00 90.00 120.00
Space group R-3m (No. 166, hexagonal axes)
Unique sites:
Sc 0.0000 0.0000 0.1029 [6 per cell]
Re 0.0000 0.0000 0.0000 [3 per cell]
B 0.0000 0.0000 0.5000 [3 per cell]

## Properties
Energy of formation from the pure elements = 0.49 eV per atom
M_tot = 0.0 Bohr magnetons per cell
Energy = -7.460 eV per atom

---

A plane-wave DFT calculation with GGA-PBE was carried out for crystalline Be2PdAu at its relaxed geometry.

Lattice parameters (Å, degrees): 6.252 6.252 5.450 90.00 90.00 90.00
Space group I-42d (No. 122)
Unique sites:
Be 0.243 0.250 0.125 [8 per cell]
Pd 0.000 0.000 0.000 [4 per cell]
Au 0.000 0.000 0.500 [4 per cell]

## Properties
Energy of formation from the pure elements = -0.04 eV per atom
M_tot = 0.0 Bohr magnetons per cell
Energy = -4.022 eV per atom

---

A plane-wave DFT calculation with GGA-PBE was carried out for crystalline Ta2AgSb at its relaxed geometry.

Lattice parameters (Å, degrees): 2.961 4.542 5.848 90.00 104.59 90.00
Space group P2/m (No. 10)
Unique sites:
Ta 0.033 0.000 0.248 [2 per cell]
Ag 0.500 0.500 0.000 [1 per cell]
Sb 0.500 0.500 0.500 [1 per cell]

## Properties
M_tot = 0.0 Bohr magnetons per cell
Energy = -7.373 eV per atom
Formation energy (no corrections) = 0.296 eV/atom

---

A plane-wave DFT calculation with GGA-PBE was carried out for crystalline AgP2Se at its relaxed geometry.

Lattice parameters (Å, degrees): 3.507 3.507 17.052 90.00 90.00 90.00
Space group I4/mmm (No. 139)
Unique sites:
Ag 0.000 0.000 0.000 [2 per cell]
P 0.000 0.500 0.250 [4 per cell]
Se 0.000 0.000 0.500 [2 per cell]

## Properties
M_tot = 0.0 Bohr magnetons per cell
Energy = -3.733 eV per atom
Formation energy (no corrections) = 0.556 eV/atom

---

A plane-wave DFT calculation with GGA-PBE was carried out for crystalline HfPa4Tc5 at its relaxed geometry.

Lattice parameters (Å, degrees): 3.387 3.387 17.216 90.00 90.00 90.00
Space group P4/mmm (No. 123)
Unique sites:
Hf 0.000 0.000 0.000 [1 per cell]
Pa 0.000 0.000 0.193 [2 per cell]
Pa 0.000 0.000 0.397 [2 per cell]
Tc 0.500 0.500 0.096 [2 per cell]
Tc 0.500 0.500 0.289 [2 per cell]
Tc 0.500 0.500 0.500 [1 per cell]

## Properties
Energy of formation from the pure elements = -0.23 eV per atom
M_tot = 0.0 Bohr magnetons per cell
Energy = -10.207 eV per atom

---

A plane-wave DFT calculation with GGA-PBE was carried out for crystalline Ni2IrBr at its relaxed geometry.

Lattice parameters (Å, degrees): 3.075 3.075 6.329 90.00 90.00 90.00
Space group P4mm (No. 99)
Unique sites:
Ni 0.000 0.000 0.000 [1 per cell]
Ni 0.500 0.500 0.205 [1 per cell]
Ir 0.500 0.500 0.803 [1 per cell]
Br 0.000 0.000 0.457 [1 per cell]

## Properties
Energy above the most stable polymorph in this dataset = 81.5 kJ/mol of formula units
M_tot = 2.1 Bohr magnetons per cell
Energy = -4.947 eV per atom
Formation energy (no corrections) = 0.577 eV/atom

---

A plane-wave DFT calculation with GGA-PBE was carried out for crystalline Mg3AsN at its relaxed geometry.

Lattice parameters (Å, degrees): 6.210 4.126 8.396 90.00 109.77 90.00
Space group P2_1/m (No. 11)
Unique sites:
Mg 0.014 0.250 0.397 [2 per cell]
Mg 0.063 0.750 0.153 [2 per cell]
Mg 0.399 0.250 0.823 [2 per cell]
As 0.317 0.250 0.141 [2 per cell]
N 0.072 0.250 0.657 [2 per cell]

## Properties
M_tot = 0.0 Bohr magnetons per cell
Energy = -4.203 eV per atom
Formation energy (no corrections) = -0.651 eV/atom

---

What did we get for calculated volume? Answer: 14.506 26.264 25.921 17.814 17.823 16.490 13.311 19.029 26.215 19.751 14.958 20.242 A^3/atom, in the order shown.